1.
## Sr3Hg5Br12 (GGA-PBE)

Data for Sr3Hg5Br12 after structural relaxation.

raw formation energy = -0.996 eV per atom
E = -2.328 eV per atom

Cell lengths 18.1662, 18.1662, 18.1662 Å; angles 90.00, 90.00, 90.00 degrees
Closest atoms and distances in Å follow each position.
Space group Ia-3d (No. 230)
Asymmetric unit:
Sr 0.0000 0.2500 0.1250  8 Br 3.37-3.40
Hg 0.0000 0.0000 0.0000  6 Br 3.26
Hg 0.0000 0.2500 0.3750  4 Br 2.70
Br 0.0245 0.0686 0.6643  1 Hg 2.70

***

2.
## Ti6Ge2H (GGA-PBE)

Data for Ti6Ge2H after structural relaxation.

E = -6.618 eV per atom

Cell lengths 5.3472, 5.3472, 11.0501 Å; angles 90.00, 90.00, 90.00 degrees
Closest atoms and distances in Å follow each position.
Space group P4_2/mnm (No. 136)
Asymmetric unit:
Ti 0.1825 0.1825 0.1260  1 H 1.96
Ti 0.2140 0.2140 0.5000  1 H 2.16
Ge 0.0000 0.0000 0.3187  6 Ti 2.48-2.58
H 0.0000 0.0000 0.0000  6 Ti 1.96-2.16

***

3.
## K2RuRh (GGA-PBE)

Data for K2RuRh after structural relaxation.

ΔE_f = 1169 meV per atom
E = -3.536 eV per atom
energy above the lowest structure with this stoichiometry = 246 kJ/mol of formula units

Cell lengths 5.0386, 5.0386, 7.1042 Å; angles 90.00, 90.00, 90.00 degrees
Closest atoms and distances in Å follow each position.
Space group I-4m2 (No. 119)
Asymmetric unit:
K 0.0000 0.0000 0.0000  4 K 3.08, 4 Ru 3.08
K 0.0000 0.5000 0.2500  4 K 3.08, 4 Rh 3.08
Ru 0.0000 0.5000 0.7500  4 K 3.08, 4 Rh 3.08
Rh 0.0000 0.0000 0.5000  4 K 3.08, 4 Ru 3.08

***

| no. | mass density (Mg/m³) |
| --- | --- |
| 1 | 4.93 |
| 2 | 4.56 |
| 3 | 5.20 |